--- a ---
MgCuW3 | PBE-GGA | optimized geometry

```
5
Lattice="4.554 0.000 0.000 0.000 4.554 0.000 0.000 0.000 4.554" Properties=species:S:1:pos:R:3 pbc="T T T"
Mg 0.000 0.000 0.000
Cu 2.277 2.277 2.277
W 0.000 2.277 2.277
W 2.277 0.000 2.277
W 2.277 2.277 0.000
```


--- b ---
MgCuW3 | PBE-GGA | optimized geometry

```
5
Lattice="4.536 0.000 0.000 0.000 4.536 0.000 0.000 0.000 4.536" Properties=species:S:1:pos:R:3 pbc="T T T"
Mg 0.000 0.000 0.000
Cu 2.268 2.268 2.268
W 0.000 0.000 2.268
W 0.000 2.268 0.000
W 2.268 0.000 0.000
```


If we sort the structures by their calculated energies, the order from most to least stable is a, b.